# Er2VO5

A relaxed structure of Er2VO5 (PBE+U, Alexandria via LeMat-Bulk). Values from VASP.

Output
Energy   -65.637 eV/f.u.

Structure (Quantum ESPRESSO input):
```
&SYSTEM
  ibrav = 0, nat = 32, ntyp = 3
/
ATOMIC_SPECIES
Er 167.26 Er.upf
V 50.94 V.upf
O 16.00 O.upf
ATOMIC_POSITIONS crystal
Er 0.7304 0.8799 0.0281
Er 0.2304 0.6201 0.0281
Er 0.4528 0.8522 0.3477
Er 0.9528 0.6478 0.3477
Er 0.0472 0.3522 0.6523
Er 0.5472 0.1478 0.6523
Er 0.7696 0.3799 0.9719
Er 0.2696 0.1201 0.9719
V 0.4535 0.3977 0.3121
V 0.9535 0.1023 0.3121
V 0.0465 0.8977 0.6879
V 0.5465 0.6023 0.6879
O 0.9553 0.1413 0.1097
O 0.9068 0.6186 0.1029
O 0.4553 0.3587 0.1097
O 0.4068 0.8814 0.1029
O 0.7603 0.9118 0.2781
O 0.9853 0.3300 0.3991
O 0.2603 0.5883 0.2781
O 0.6354 0.5699 0.3833
O 0.4853 0.1700 0.3991
O 0.1354 0.9301 0.3833
O 0.8646 0.0699 0.6167
O 0.5147 0.8300 0.6009
O 0.3646 0.4301 0.6167
O 0.7397 0.4118 0.7219
O 0.0147 0.6700 0.6009
O 0.2397 0.0882 0.7219
O 0.5932 0.1186 0.8971
O 0.5447 0.6413 0.8903
O 0.0932 0.3814 0.8971
O 0.0447 0.8587 0.8903
CELL_PARAMETERS angstrom
6.6165 0.0000 -1.0630
0.0000 7.0698 0.0000
0.6839 0.0000 9.0908
```